Computed, not measured: crystalline Pr2CoNi at its relaxed geometry at the GGA-PBE level of DFT.

Results
**Size of the total moment**: 0.02 μB per formula unit
**Formation energy**: -0.0476 eV per atom
**E**: -0.208 Ha/atom
**Relative energy among the computed polymorphs**: 0.47 eV per formula unit
**Crystal system**: cubic

a b c (Å): 6.992 6.992 6.992
angles (deg): 90.00 90.00 90.00
Space group Fm-3m (No. 225)
Asymmetric unit:
1 Pr 0.250 0.250 0.250
2 Co 0.000 0.000 0.000
3 Ni 0.000 0.000 0.500



Computed, not measured: crystalline Mg2OsAu at its relaxed geometry at the GGA-PBE level of DFT.

Results
**Size of the total moment**: 0.00 μB per formula unit
**Formation energy**: -0.0615 eV per atom
**E**: -0.165 Ha/atom
**Crystal system**: orthorhombic

a b c (Å): 5.957 7.873 2.815
angles (deg): 90.00 90.00 90.00
Space group Cmmm (No. 65)
Asymmetric unit:
1 Mg 0.250 0.250 0.000
2 Os 0.000 0.000 0.500
3 Au 0.000 0.500 0.500



Sequential N(E_F) output: 0.659; 0.444 states/eV/atom